CoAs2Au, optimized geometry, DFT PBE-GGA; VASP energy = -4.56 eV/atom; crystal system = cubic; M_tot = 0.6 μB per formula unit; energy above the lowest structure with this stoichiometry = 0.435 eV/atom; formation energy = 0.36 eV/atom
1.0
0.000 3.197 3.197
3.197 0.000 3.197
3.197 3.197 0.000
Co As Au
1 2 1
Cartesian
0.000 0.000 0.000
1.599 1.599 1.599
4.796 4.796 4.796
3.197 3.197 3.197


InC3, optimized geometry, DFT PBE-GGA; VASP energy = -6.57 eV/atom; crystal system = monoclinic; M_tot = 0.0 μB per formula unit; energy above the lowest structure with this stoichiometry = 0.131 eV/atom; formation energy = 1.03 eV/atom
1.0
3.038 -1.748 0.000
3.038 1.748 0.000
-2.019 0.000 5.091
In C
1 3
Cartesian
0.000 0.000 0.000
2.025 0.000 1.236
2.029 0.000 2.546
2.032 0.000 3.855


TmPaRh3, optimized geometry, DFT PBE-GGA; VASP energy = -7.98 eV/atom; crystal system = monoclinic; M_tot = 0.0 μB per formula unit; formation energy = -0.78 eV/atom
1.0
4.318 0.000 0.000
0.000 5.610 0.000
-2.140 0.000 8.044
Tm Pa Rh
2 2 6
Cartesian
0.001 1.403 2.836
2.177 4.208 5.207
0.015 1.403 6.484
2.163 4.208 1.560
0.000 0.000 0.000
0.000 2.805 0.000
0.019 4.208 3.359
0.017 4.208 6.960
2.161 1.403 1.084
2.158 1.403 4.685


Sr2CeNpN4, optimized geometry, DFT PBE-GGA; VASP energy = -8.05 eV/atom; crystal system = monoclinic; M_tot = 3.0 μB per formula unit; formation energy (no corrections) = -1.11 eV/atom
1.0
6.217 0.000 0.000
0.000 3.621 0.000
-1.996 0.000 5.977
Sr Ce Np N
2 1 1 4
Cartesian
0.000 0.000 0.000
3.108 1.811 0.000
-0.998 1.811 2.988
2.111 0.000 2.988
0.218 0.000 4.166
1.113 1.811 1.792
3.108 1.811 4.185
4.003 0.000 1.811